The following is a SCAN calculation of a PBEsol-optimized structure of ReTcSe4, from Alexandria.

Computed properties:
The value obtained for the uncorrected formation energy is 10.76 eV/f.u.

Cell and atoms, written as CIF:
```
data_ReTcSe4
_chemical_formula_sum 'Re4 Tc4 Se16'
_space_group_name_H-M_alt 'F -4 3 m'
_space_group_IT_number 216
_space_group_name_Hall 'F -4 2 3'
_cell_length_a 7.518
_cell_length_b 7.518
_cell_length_c 7.518
_cell_angle_alpha 90.00
_cell_angle_beta 90.00
_cell_angle_gamma 90.00
loop_
_atom_site_label
_atom_site_fract_x
_atom_site_fract_y
_atom_site_fract_z
_atom_site_occupancy
Re1 0.000 0.000 0.000 1
Tc1 0.250 0.250 0.750 1
Se1 0.125 0.125 0.375 1
```

The following is a SCAN calculation of a PBEsol-optimized structure of ReTcSe2, from Alexandria.

Computed properties:
The value obtained for the uncorrected formation energy is 3.97 eV/f.u.

Cell and atoms, written as CIF:
```
data_ReTcSe2
_chemical_formula_sum 'Re1 Tc1 Se2'
_space_group_name_H-M_alt 'P m m m'
_space_group_IT_number 47
_space_group_name_Hall '-P 2 2'
_cell_length_a 2.979
_cell_length_b 4.026
_cell_length_c 5.361
_cell_angle_alpha 90.00
_cell_angle_beta 90.00
_cell_angle_gamma 90.00
loop_
_atom_site_label
_atom_site_fract_x
_atom_site_fract_y
_atom_site_fract_z
_atom_site_occupancy
Re1 0.000 0.000 0.000 1
Tc1 0.500 0.000 0.500 1
Se1 0.000 0.500 0.500 1
Se2 0.500 0.500 0.000 1
```

The following is a SCAN calculation of a PBEsol-optimized structure of Re3TcSe, from Alexandria.

Computed properties:
The value obtained for the uncorrected formation energy is 11.91 eV/f.u.

Cell and atoms, written as CIF:
```
data_Re3TcSe
_chemical_formula_sum 'Re3 Tc1 Se1'
_space_group_name_H-M_alt 'P m -3 m'
_space_group_IT_number 221
_space_group_name_Hall '-P 4 2 3'
_cell_length_a 4.624
_cell_length_b 4.624
_cell_length_c 4.624
_cell_angle_alpha 90.00
_cell_angle_beta 90.00
_cell_angle_gamma 90.00
loop_
_atom_site_label
_atom_site_fract_x
_atom_site_fract_y
_atom_site_fract_z
_atom_site_occupancy
Re1 0.000 0.000 0.500 1
Tc1 0.000 0.000 0.000 1
Se1 0.500 0.500 0.500 1
```

The following is a SCAN calculation of a PBEsol-optimized structure of ReTe2Se2, from Alexandria.

Computed properties:
The value obtained for the uncorrected formation energy is 2.68 eV/f.u.

Cell and atoms, written as CIF:
```
data_ReTe2Se2
_chemical_formula_sum 'Re2 Te4 Se4'
_space_group_name_H-M_alt 'I 4/m m m'
_space_group_IT_number 139
_space_group_name_Hall '-I 4 2'
_cell_length_a 3.457
_cell_length_b 3.457
_cell_length_c 19.924
_cell_angle_alpha 90.00
_cell_angle_beta 90.00
_cell_angle_gamma 90.00
loop_
_atom_site_label
_atom_site_fract_x
_atom_site_fract_y
_atom_site_fract_z
_atom_site_occupancy
Re1 0.000 0.000 0.000 1
Te1 0.000 0.000 0.421 1
Se1 0.000 0.500 0.250 1
```

The following is a SCAN calculation of a PBEsol-optimized structure of ReTeSe2, from Alexandria.

Computed properties:
The value obtained for the uncorrected formation energy is 1.64 eV/f.u.

Cell and atoms, written as CIF:
```
data_ReTeSe2
_chemical_formula_sum 'Re2 Te2 Se4'
_space_group_name_H-M_alt 'I m m m'
_space_group_IT_number 71
_space_group_name_Hall '-I 2 2'
_cell_length_a 3.154
_cell_length_b 4.826
_cell_length_c 11.006
_cell_angle_alpha 90.00
_cell_angle_beta 90.00
_cell_angle_gamma 90.00
loop_
_atom_site_label
_atom_site_fract_x
_atom_site_fract_y
_atom_site_fract_z
_atom_site_occupancy
Re1 0.000 0.000 0.000 1
Te1 0.000 0.000 0.500 1
Se1 0.000 0.500 0.320 1
```

The following is a SCAN calculation of a PBEsol-optimized structure of TlRe3Se, from Alexandria.

Computed properties:
The value obtained for the uncorrected formation energy is 9.46 eV/f.u.

Cell and atoms, written as CIF:
```
data_TlRe3Se
_chemical_formula_sum 'Tl1 Re3 Se1'
_space_group_name_H-M_alt 'P m -3 m'
_space_group_IT_number 221
_space_group_name_Hall '-P 4 2 3'
_cell_length_a 4.546
_cell_length_b 4.546
_cell_length_c 4.546
_cell_angle_alpha 90.00
_cell_angle_beta 90.00
_cell_angle_gamma 90.00
loop_
_atom_site_label
_atom_site_fract_x
_atom_site_fract_y
_atom_site_fract_z
_atom_site_occupancy
Tl1 0.000 0.000 0.000 1
Re1 0.000 0.500 0.500 1
Se1 0.500 0.500 0.500 1
```

The following is a SCAN calculation of a PBEsol-optimized structure of Tl2Re3Se6, from Alexandria.

Computed properties:
The value obtained for the uncorrected formation energy is -4.92 eV/f.u.

Cell and atoms, written as CIF:
```
data_Tl2Re3Se6
_chemical_formula_sum 'Tl16 Re24 Se48'
_space_group_name_H-M_alt 'C 1 2/c 1'
_space_group_IT_number 15
_space_group_name_Hall '-C 2yc'
_cell_length_a 17.163
_cell_length_b 9.860
_cell_length_c 12.167
_cell_angle_alpha 90.00
_cell_angle_beta 90.99
_cell_angle_gamma 90.00
loop_
_atom_site_label
_atom_site_fract_x
_atom_site_fract_y
_atom_site_fract_z
_atom_site_occupancy
Tl1 0.000 0.094 0.250 1
Tl2 0.000 0.283 0.750 1
Tl3 0.103 0.254 0.486 1
Re1 0.160 0.350 0.025 1
Re2 0.205 0.178 0.871 1
Re3 0.209 0.106 0.081 1
Se1 0.037 0.475 0.083 1
Se2 0.080 0.138 0.977 1
Se3 0.142 0.085 0.692 1
Se4 0.160 0.416 0.825 1
Se5 0.169 0.277 0.223 1
Se6 0.246 0.447 0.568 1
```

The following is a SCAN calculation of a PBEsol-optimized structure of Tl2ReSe, from Alexandria.

Computed properties:
The value obtained for the uncorrected formation energy is 4.50 eV/f.u.

Cell and atoms, written as CIF:
```
data_Tl2ReSe
_chemical_formula_sum 'Tl4 Re2 Se2'
_space_group_name_H-M_alt 'I 4/m m m'
_space_group_IT_number 139
_space_group_name_Hall '-I 4 2'
_cell_length_a 4.122
_cell_length_b 4.122
_cell_length_c 10.050
_cell_angle_alpha 90.00
_cell_angle_beta 90.00
_cell_angle_gamma 90.00
loop_
_atom_site_label
_atom_site_fract_x
_atom_site_fract_y
_atom_site_fract_z
_atom_site_occupancy
Tl1 0.000 0.500 0.250 1
Re1 0.000 0.000 0.000 1
Se1 0.000 0.000 0.500 1
```

Question: Which of these has the lowest uncorrected formation energy?
Answer: Tl2Re3Se6